# GGA-PBEsol Ba3Pb, relaxed
data_Ba3Pb
_chemical_formula_sum 'Ba6 Pb2'
_cell_length_a 5.416
_cell_length_b 5.416
_cell_length_c 11.176
_cell_angle_alpha 90.00
_cell_angle_beta 90.00
_cell_angle_gamma 90.00
_space_group_name_H-M_alt 'I 4/m m m'
_space_group_IT_number 139
_space_group_name_Hall '-I 4 2'
loop_
_atom_site_label
_atom_site_type_symbol
_atom_site_fract_x
_atom_site_fract_y
_atom_site_fract_z
Ba1 Ba 0.000 0.000 0.000
Ba2 Ba 0.000 0.500 0.250
Pb1 Pb 0.000 0.000 0.500
# - ΔH_f (0 K): -0.2873 eV per atom
# - Total magnetic moment: 0.0 μB per formula unit

# GGA-PBEsol BaPb5, relaxed
data_BaPb5
_chemical_formula_sum 'Ba4 Pb20'
_cell_length_a 9.215
_cell_length_b 9.215
_cell_length_c 9.215
_cell_angle_alpha 90.00
_cell_angle_beta 90.00
_cell_angle_gamma 90.00
_space_group_name_H-M_alt 'F -4 3 m'
_space_group_IT_number 216
_space_group_name_Hall 'F -4 2 3'
loop_
_atom_site_label
_atom_site_type_symbol
_atom_site_fract_x
_atom_site_fract_y
_atom_site_fract_z
Ba1 Ba 0.000 0.000 0.000
Pb1 Pb 0.125 0.125 0.625
Pb2 Pb 0.250 0.250 0.250
# - ΔH_f (0 K): -0.2016 eV per atom
# - Total magnetic moment: 0.0 μB per formula unit

# GGA-PBEsol BaPb2, relaxed
data_BaPb2
_chemical_formula_sum 'Ba4 Pb8'
_cell_length_a 12.002
_cell_length_b 5.037
_cell_length_c 7.415
_cell_angle_alpha 90.00
_cell_angle_beta 112.63
_cell_angle_gamma 90.00
_space_group_name_H-M_alt 'C 1 m 1'
_space_group_IT_number 8
loop_
_space_group_symop_operation_xyz
'x,y,z'
'x,-y,z'
'x+1/2,y+1/2,z'
'x+1/2,-y+1/2,z'
loop_
_atom_site_label
_atom_site_type_symbol
_atom_site_fract_x
_atom_site_fract_y
_atom_site_fract_z
Ba1 Ba 0.000 0.000 0.000
Ba2 Ba 0.193 0.500 0.404
Pb1 Pb 0.027 0.000 0.524
Pb2 Pb 0.191 0.500 0.890
Pb3 Pb 0.343 0.000 0.179
Pb4 Pb 0.405 0.000 0.641
# - ΔH_f (0 K): -0.4122 eV per atom
# - Total magnetic moment: 0.0 μB per formula unit

# GGA-PBEsol Ba3Pb, relaxed
data_Ba3Pb
_chemical_formula_sum 'Ba3 Pb1'
_cell_length_a 4.163
_cell_length_b 4.978
_cell_length_c 8.465
_cell_angle_alpha 90.00
_cell_angle_beta 90.00
_cell_angle_gamma 90.00
_space_group_name_H-M_alt 'P m m m'
_space_group_IT_number 47
loop_
_space_group_symop_operation_xyz
'x,y,z'
'-x,-y,-z'
'-x,-y,z'
'x,y,-z'
'x,-y,-z'
'-x,y,z'
'-x,y,-z'
'x,-y,z'
loop_
_atom_site_label
_atom_site_type_symbol
_atom_site_fract_x
_atom_site_fract_y
_atom_site_fract_z
Ba1 Ba 0.000 0.000 0.000
Ba2 Ba 0.500 0.500 0.295
Pb1 Pb 0.000 0.000 0.500
# - ΔH_f (0 K): -0.2731 eV per atom
# - Total magnetic moment: 0.0 μB per formula unit

# GGA-PBEsol BaPb3, relaxed
data_BaPb3
_chemical_formula_sum 'Ba2 Pb6'
_cell_length_a 10.748
_cell_length_b 4.530
_cell_length_c 5.866
_cell_angle_alpha 90.00
_cell_angle_beta 109.34
_cell_angle_gamma 90.00
_space_group_name_H-M_alt 'C 1 2/m 1'
_space_group_IT_number 12
loop_
_space_group_symop_operation_xyz
'x,y,z'
'-x,-y,-z'
'-x,y,-z'
'x,-y,z'
'x+1/2,y+1/2,z'
'-x+1/2,-y+1/2,-z'
'-x+1/2,y+1/2,-z'
'x+1/2,-y+1/2,z'
loop_
_atom_site_label
_atom_site_type_symbol
_atom_site_fract_x
_atom_site_fract_y
_atom_site_fract_z
Ba1 Ba 0.000 0.000 0.000
Pb1 Pb 0.000 0.500 0.500
Pb2 Pb 0.239 0.000 0.684
# - ΔH_f (0 K): -0.3380 eV per atom
# - Total magnetic moment: 0.0 μB per formula unit

# GGA-PBEsol BaPb3, relaxed
data_BaPb3
_chemical_formula_sum 'Ba1 Pb3'
_cell_length_a 5.017
_cell_length_b 5.017
_cell_length_c 5.017
_cell_angle_alpha 90.00
_cell_angle_beta 90.00
_cell_angle_gamma 90.00
_space_group_name_H-M_alt 'P m -3 m'
_space_group_IT_number 221
_space_group_name_Hall '-P 4 2 3'
loop_
_atom_site_label
_atom_site_type_symbol
_atom_site_fract_x
_atom_site_fract_y
_atom_site_fract_z
Ba1 Ba 0.000 0.000 0.000
Pb1 Pb 0.000 0.500 0.500
# - ΔH_f (0 K): -0.3927 eV per atom
# - Total magnetic moment: 0.0 μB per formula unit

# GGA-PBEsol BaPb3, relaxed
data_BaPb3
_chemical_formula_sum 'Ba9 Pb27'
_cell_length_a 7.2589
_cell_length_b 7.2589
_cell_length_c 25.4641
_cell_angle_alpha 90.00
_cell_angle_beta 90.00
_cell_angle_gamma 120.00
_space_group_name_H-M_alt 'R -3 m'
_space_group_IT_number 166
_space_group_name_Hall '-R 3 2"'
loop_
_atom_site_label
_atom_site_type_symbol
_atom_site_fract_x
_atom_site_fract_y
_atom_site_fract_z
Ba1 Ba 0.0000 0.0000 0.0000
Ba2 Ba 0.0000 0.0000 0.2173
Pb1 Pb 0.0000 0.5000 0.0000
Pb2 Pb 0.0386 0.5193 0.2232
# - ΔH_f (0 K): -0.3988 eV per atom
# - Total magnetic moment: 0.0 μB per formula unit

# GGA-PBEsol BaPb, relaxed
data_BaPb
_chemical_formula_sum 'Ba8 Pb8'
_cell_length_a 7.683
_cell_length_b 12.246
_cell_length_c 6.370
_cell_angle_alpha 90.00
_cell_angle_beta 90.00
_cell_angle_gamma 90.00
_space_group_name_H-M_alt 'C m c m'
_space_group_IT_number 63
_space_group_name_Hall '-C 2c 2'
loop_
_atom_site_label
_atom_site_type_symbol
_atom_site_fract_x
_atom_site_fract_y
_atom_site_fract_z
Ba1 Ba 0.000 0.107 0.250
Ba2 Ba 0.000 0.346 0.750
Pb1 Pb 0.203 0.382 0.250
# - ΔH_f (0 K): -0.5278 eV per atom
# - Total magnetic moment: 0.0 μB per formula unit

# GGA-PBEsol BaPb2, relaxed
data_BaPb2
_chemical_formula_sum 'Ba4 Pb8'
_cell_length_a 4.883
_cell_length_b 4.883
_cell_length_c 18.961
_cell_angle_alpha 90.00
_cell_angle_beta 90.00
_cell_angle_gamma 90.00
_space_group_name_H-M_alt 'I 41/a m d'
_space_group_IT_number 141
loop_
_space_group_symop_operation_xyz
'x,y,z'
'-x,-y,-z'
'-y+1/4,x+3/4,z+1/4'
'y+1/4,-x+3/4,-z+1/4'
'-x+1/2,-y,z+1/2'
'x+1/2,y,-z+1/2'
'y+1/4,-x+1/4,z+3/4'
'-y+1/4,x+1/4,-z+3/4'
'x,-y,-z'
'-x,y,z'
'-y+1/4,-x+1/4,-z+3/4'
'y+1/4,x+1/4,z+3/4'
'-x+1/2,y,-z+1/2'
'x+1/2,-y,z+1/2'
'y+1/4,x+3/4,-z+1/4'
'-y+1/4,-x+3/4,z+1/4'
'x+1/2,y+1/2,z+1/2'
'-x+1/2,-y+1/2,-z+1/2'
'-y+3/4,x+1/4,z+3/4'
'y+3/4,-x+1/4,-z+3/4'
'-x,-y+1/2,z'
'x,y+1/2,-z'
'y+3/4,-x+3/4,z+1/4'
'-y+3/4,x+3/4,-z+1/4'
'x+1/2,-y+1/2,-z+1/2'
'-x+1/2,y+1/2,z+1/2'
'-y+3/4,-x+3/4,-z+1/4'
'y+3/4,x+3/4,z+1/4'
'-x,y+1/2,-z'
'x,-y+1/2,z'
'y+3/4,x+1/4,-z+3/4'
'-y+3/4,-x+1/4,z+3/4'
loop_
_atom_site_label
_atom_site_type_symbol
_atom_site_fract_x
_atom_site_fract_y
_atom_site_fract_z
Ba1 Ba 0.000 0.250 0.375
Pb1 Pb 0.000 0.250 0.795
# - ΔH_f (0 K): -0.4068 eV per atom
# - Total magnetic moment: 0.0 μB per formula unit

# GGA-PBEsol Ba5Pb, relaxed
data_Ba5Pb
_chemical_formula_sum 'Ba10 Pb2'
_cell_length_a 14.499
_cell_length_b 4.613
_cell_length_c 9.853
_cell_angle_alpha 90.00
_cell_angle_beta 111.71
_cell_angle_gamma 90.00
_space_group_name_H-M_alt 'C 1 2/m 1'
_space_group_IT_number 12
loop_
_space_group_symop_operation_xyz
'x,y,z'
'-x,-y,-z'
'-x,y,-z'
'x,-y,z'
'x+1/2,y+1/2,z'
'-x+1/2,-y+1/2,-z'
'-x+1/2,y+1/2,-z'
'x+1/2,-y+1/2,z'
loop_
_atom_site_label
_atom_site_type_symbol
_atom_site_fract_x
_atom_site_fract_y
_atom_site_fract_z
Ba1 Ba 0.000 0.000 0.000
Ba2 Ba 0.134 0.500 0.369
Ba3 Ba 0.157 0.500 0.777
Pb1 Pb 0.000 0.000 0.500
# - ΔH_f (0 K): -0.1992 eV per atom
# - Total magnetic moment: 0.0 μB per formula unit

# GGA-PBEsol BaPb3, relaxed
data_BaPb3
_chemical_formula_sum 'Ba2 Pb6'
_cell_length_a 5.015
_cell_length_b 5.015
_cell_length_c 10.166
_cell_angle_alpha 90.00
_cell_angle_beta 90.00
_cell_angle_gamma 90.00
_space_group_name_H-M_alt 'I 4/m m m'
_space_group_IT_number 139
_space_group_name_Hall '-I 4 2'
loop_
_atom_site_label
_atom_site_type_symbol
_atom_site_fract_x
_atom_site_fract_y
_atom_site_fract_z
Ba1 Ba 0.000 0.000 0.000
Pb1 Pb 0.000 0.000 0.500
Pb2 Pb 0.000 0.500 0.250
# - ΔH_f (0 K): -0.3301 eV per atom
# - Total magnetic moment: 0.0 μB per formula unit

# GGA-PBEsol Ba3Pb5, relaxed
data_Ba3Pb5
_chemical_formula_sum 'Ba12 Pb20'
_cell_length_a 11.119
_cell_length_b 9.020
_cell_length_c 11.299
_cell_angle_alpha 90.00
_cell_angle_beta 90.00
_cell_angle_gamma 90.00
_space_group_name_H-M_alt 'C m c m'
_space_group_IT_number 63
_space_group_name_Hall '-C 2c 2'
loop_
_atom_site_label
_atom_site_type_symbol
_atom_site_fract_x
_atom_site_fract_y
_atom_site_fract_z
Ba1 Ba 0.000 0.137 0.250
Ba2 Ba 0.207 0.500 0.000
Pb1 Pb 0.000 0.196 0.554
Pb2 Pb 0.000 0.463 0.750
Pb3 Pb 0.201 0.214 0.750
# - ΔH_f (0 K): -0.5349 eV per atom
# - Total magnetic moment: 0.0 μB per formula unit